(1)
{"formula": "NbVIr", "functional": "PBE", "state": "relaxed", "cell": [[2.7665, 0.0000, 0.0000], [0.0000, 4.3837, 0.0000], [0.0000, -2.1919, 3.7964]], "species": ["Nb", "V", "Ir"], "frac_coords": [[0.9753, 0.0000, 0.0000], [0.6764, 0.6667, 0.3333], [0.3483, 0.3333, 0.6667]], "formation_energy_ev_per_atom": -0.227, "energy_ev_per_atom": -9.58, "polymorph_energy_ev_per_atom": 0.000}

***

(2)
{"formula": "NbV2Ir", "functional": "PBE", "state": "relaxed", "cell": [[-3.1116, 0.0678, 0.0311], [-0.1016, -4.2605, -0.8808], [0.0233, -0.8815, 4.2615]], "species": ["V", "V", "Nb", "Ir"], "frac_coords": [[0.0000, 0.5000, 0.0000], [0.0000, 0.0000, 0.5000], [0.5000, 0.0000, 0.0000], [0.5000, 0.5000, 0.5000]], "formation_energy_ev_per_atom": -0.323, "energy_ev_per_atom": -9.61}